Computed, not measured: a geometry-optimized Sr2Tl7In2Pb structure at the PBE level of DFT.

## Properties
symmetry	No. 12
M_tot	0.0	μB/f.u.
calculated total energy	-2.545	eV/atom

Cell lengths 4.859, 4.859, 17.157 Å; angles 78.10, 78.10, 89.47 degrees
Atoms (fractional coordinates):
Sr1 0.764 0.764 0.332
Sr2 0.236 0.236 0.668
Tl1 0.500 0.500 0.000
Tl2 0.243 0.243 0.466
Tl3 0.757 0.757 0.534
Tl4 0.890 0.389 0.156
Tl5 0.389 0.890 0.156
Tl6 0.611 0.110 0.844
Tl7 0.110 0.611 0.844
In1 0.700 0.700 0.717
In2 0.300 0.300 0.283
Pb1 0.000 0.000 0.000